Record 1
5
Lattice="4.800 0.000 0.000 0.000 4.800 0.000 0.000 0.000 3.641" Properties=species:S:1:pos:R:3 comment="InCuS2N, relaxed, DFT GGA-PBE" formation_energy_uncorrected_ev_per_atom=0.676 magmom_total_mub_per_cell=1.53 pbc="T T T"
In 0.000 0.000 0.000
Cu 2.400 2.400 1.820
S 0.000 2.400 1.820
S 2.400 0.000 1.820
N 2.400 2.400 0.000

Record 2
10
Lattice="3.909 0.000 0.000 0.000 3.909 0.000 0.000 0.000 15.402" Properties=species:S:1:pos:R:3 comment="Y2CdRh2, relaxed, DFT GGA-PBE" magmom_total_mub_per_cell=0.00 formation_energy_ev_per_atom=-0.3250 pbc="T T T"
Y 0.000 0.000 1.855
Y 0.000 0.000 13.547
Y 1.955 1.955 5.846
Y 1.955 1.955 9.556
Cd 0.000 0.000 7.701
Cd 1.955 1.955 0.000
Rh 0.000 1.955 3.851
Rh 0.000 1.955 11.552
Rh 1.955 0.000 3.851
Rh 1.955 0.000 11.552

Record 3
6
Lattice="4.859 0.000 0.000 0.000 5.550 0.000 0.000 0.000 8.953" Properties=species:S:1:pos:R:3 comment="Cs2Hg3As, relaxed, DFT GGA-PBE" magmom_total_mub_per_cell=0.00 formation_energy_ev_per_atom=-0.2933 pbc="T T T"
Cs 0.000 0.000 0.000
Cs 2.429 0.000 4.196
Hg 0.000 2.775 2.704
Hg 0.000 2.775 5.763
Hg 2.429 2.775 7.599
As 2.429 2.775 1.406

Record 4
16
Lattice="7.810 -4.514 0.000 7.810 4.514 0.000 -5.201 0.000 7.381" Properties=species:S:1:pos:R:3 comment="La3Pr4ScTe8, relaxed, DFT GGA-PBE" formation_energy_uncorrected_ev_per_atom=-1.436 magmom_total_mub_per_cell=0.00 pbc="T T T"
La 0.000 0.000 0.000
La 3.905 2.257 0.000
La 3.905 -2.257 0.000
Pr -2.601 0.000 3.690
Pr 1.304 2.257 3.690
Pr 1.304 -2.257 3.690
Pr 5.209 0.000 3.690
Sc 7.810 0.000 0.000
Te 2.604 0.000 1.862
Te 0.113 0.000 5.598
Te 3.854 2.161 5.599
Te 6.565 2.161 1.782
Te 3.854 -2.161 5.599
Te 6.565 -2.161 1.782
Te 10.305 0.000 1.783
Te 7.814 0.000 5.519

Record 5
8
Lattice="5.183 0.000 0.000 0.000 5.183 0.000 0.000 0.000 5.183" Properties=species:S:1:pos:R:3 comment="CdOs, relaxed, DFT GGA-PBE" magmom_total_mub_per_cell=2.25 formation_energy_ev_per_atom=1.1176 pbc="T T T"
Cd 0.501 2.091 3.093
Cd 2.091 3.093 0.501
Cd 3.093 0.501 2.091
Cd 4.682 4.682 4.682
Os 0.542 4.642 2.050
Os 2.050 0.542 4.642
Os 3.133 3.133 3.133
Os 4.642 2.050 0.542

Record 6
20
Lattice="4.661 -7.638 0.000 4.661 7.638 0.000 -1.666 0.000 9.892" Properties=species:S:1:pos:R:3 comment="Pr6Sm2YTh, relaxed, DFT GGA-PBE" magmom_total_mub_per_cell=0.00 formation_energy_ev_per_atom=0.1393 pbc="T T T"
Pr 2.437 4.306 1.850
Pr 3.088 4.900 5.489
Pr 3.734 4.900 9.349
Pr 3.118 1.582 3.753
Pr 6.051 4.306 3.096
Pr 5.370 1.582 1.193
Pr 2.285 -1.582 8.699
Pr 1.604 -4.306 6.796
Pr 4.537 -1.582 6.139
Pr 3.921 -4.900 0.543
Pr 4.567 -4.900 4.403
Pr 5.218 -4.306 8.042
Sm 2.166 0.688 0.459
Sm 1.333 -0.688 5.405
Sm 6.323 0.688 4.487
Sm 5.490 -0.688 9.433
Y 3.411 1.424 7.419
Y 4.244 -1.424 2.473
Th 4.244 7.303 2.473
Th 3.411 -7.303 7.419

Record 7
8
Lattice="3.294 0.000 0.000 0.000 6.490 0.000 0.000 0.000 7.350" Properties=species:S:1:pos:R:3 comment="Be2InSe, relaxed, DFT GGA-PBE" formation_energy_uncorrected_ev_per_atom=0.398 magmom_total_mub_per_cell=0.00 pbc="T T T"
Be 0.000 0.000 1.509
Be 0.000 0.000 5.841
Be 1.647 3.245 1.509
Be 1.647 3.245 5.841
In 0.000 3.245 3.675
In 1.647 0.000 3.675
Se 0.000 3.245 0.000
Se 1.647 0.000 0.000

Record 8
12
Lattice="3.796 0.000 0.000 -1.898 3.288 0.000 0.000 0.000 21.042" Properties=species:S:1:pos:R:3 comment="IrBr2Cl, relaxed, DFT GGA-PBE" formation_energy_uncorrected_ev_per_atom=0.066 magmom_total_mub_per_cell=0.00 pbc="T T T"
Ir 0.000 0.000 0.000
Ir 0.000 2.192 14.028
Ir 1.898 1.096 7.014
Br 0.000 0.000 5.701
Br 0.000 0.000 15.340
Br 0.000 2.192 8.326
Br 0.000 2.192 19.729
Br 1.898 1.096 1.312
Br 1.898 1.096 12.715
Cl 0.000 0.000 10.521
Cl 0.000 2.192 3.507
Cl 1.898 1.096 17.535

Record 9
4
Lattice="3.259 0.000 0.000 0.000 4.028 0.000 0.000 0.000 5.676" Properties=species:S:1:pos:R:3 comment="ZrSiAu2, relaxed, DFT GGA-PBE" formation_energy_uncorrected_ev_per_atom=-0.238 magmom_total_mub_per_cell=0.00 pbc="T T T"
Zr 0.000 0.000 0.000
Si 0.000 0.000 2.838
Au 1.630 2.014 1.430
Au 1.630 2.014 4.246

Record 10
8
Lattice="2.313 1.335 8.391 -2.313 1.335 8.391 0.000 -2.671 8.391" Properties=species:S:1:pos:R:3 comment="CaMgGa2Au4, relaxed, DFT GGA-PBE" magmom_total_mub_per_cell=0.00 formation_energy_ev_per_atom=-0.4888 pbc="T T T"
Ca 0.000 0.000 0.000
Mg 0.000 0.000 12.587
Ga 0.000 0.000 6.278
Ga 0.000 0.000 18.896
Au 0.000 0.000 3.350
Au 0.000 0.000 9.891
Au 0.000 0.000 15.283
Au 0.000 0.000 21.825

Record 11
5
Lattice="4.643 0.000 0.000 0.000 4.643 0.000 0.000 0.000 4.643" Properties=species:S:1:pos:R:3 comment="SrReW3, relaxed, DFT GGA-PBE" magmom_total_mub_per_cell=0.00 formation_energy_ev_per_atom=3.9112 pbc="T T T"
Sr 0.000 0.000 0.000
Re 2.321 2.321 2.321
W 0.000 0.000 2.321
W 0.000 2.321 0.000
W 2.321 0.000 0.000

Record 12
9
Lattice="9.513 -2.097 0.000 9.513 2.097 0.000 -2.614 0.000 8.545" Properties=species:S:1:pos:R:3 comment="HfU2Te6, relaxed, DFT GGA-PBE" formation_energy_uncorrected_ev_per_atom=-0.652 magmom_total_mub_per_cell=4.00 pbc="T T T"
Hf 0.000 0.000 0.000
U 4.632 0.000 5.748
U 11.780 0.000 2.797
Te 2.822 0.000 0.660
Te 1.689 0.000 4.929
Te 8.870 0.000 1.944
Te 7.542 0.000 6.601
Te 14.723 0.000 3.616
Te 13.590 0.000 7.885